# 1
Computed, not measured: NdSmCdCo after structural relaxation at the PBE level of DFT.

Its energy of formation from the pure elements is -0.061 eV per atom.

It has space group F-43m (No. 216), with a = 7.325 Å, b = 7.325 Å, c = 7.325 Å, α = 90.00°, β = 90.00° and γ = 90.00°. The distinct sites, in fractional coordinates, are Nd at (0.000, 0.000, 0.000), Sm at (0.000, 0.000, 0.500), Cd at (0.250, 0.250, 0.750) and Co at (0.250, 0.250, 0.250).

# 2
Computed, not measured: TbNdCdCo after structural relaxation at the PBE level of DFT.

Its energy of formation from the pure elements is -0.082 eV per atom.

It has space group F-43m (No. 216), with a = 7.263 Å, b = 7.263 Å, c = 7.263 Å, α = 90.00°, β = 90.00° and γ = 90.00°. The distinct sites, in fractional coordinates, are Tb at (0.000, 0.000, 0.000), Nd at (0.000, 0.000, 0.500), Cd at (0.250, 0.250, 0.250) and Co at (0.250, 0.250, 0.750).

# 3
Computed, not measured: NdYCdCo after structural relaxation at the PBE level of DFT.

Its energy of formation from the pure elements is -0.090 eV per atom.

It has space group F-43m (No. 216), with a = 7.259 Å, b = 7.259 Å, c = 7.259 Å, α = 90.00°, β = 90.00° and γ = 90.00°. The distinct sites, in fractional coordinates, are Nd at (0.000, 0.000, 0.000), Y at (0.000, 0.000, 0.500), Cd at (0.250, 0.250, 0.250) and Co at (0.250, 0.250, 0.750).

# 4
Computed, not measured: CdCoNi2 after structural relaxation at the PBE level of DFT.

Its energy of formation from the pure elements is 0.247 eV per atom.

It has space group P4/mmm (No. 123), with a = 3.790 Å, b = 3.790 Å, c = 3.662 Å, α = 90.00°, β = 90.00° and γ = 90.00°. The distinct sites, in fractional coordinates, are Cd at (0.000, 0.000, 0.000), Co at (0.500, 0.500, 0.000) and Ni at (0.000, 0.500, 0.500).

# 5
Computed, not measured: CdCo2Ni2 after structural relaxation at the PBE level of DFT.

Its energy of formation from the pure elements is 0.195 eV per atom.

It has space group P4/mbm (No. 127), with a = 7.069 Å, b = 7.069 Å, c = 2.604 Å, α = 90.00°, β = 90.00° and γ = 90.00°. The distinct sites, in fractional coordinates, are Cd at (0.000, 0.000, 0.000), Co at (0.118, 0.382, 0.000) and Ni at (0.173, 0.673, 0.500).

# 6
Computed, not measured: CdCo2Ni2 after structural relaxation at the PBE level of DFT.

Its energy of formation from the pure elements is 0.285 eV per atom.

It has space group I4/mmm (No. 139), with a = 3.440 Å, b = 3.440 Å, c = 11.508 Å, α = 90.00°, β = 90.00° and γ = 90.00°. The distinct sites, in fractional coordinates, are Cd at (0.000, 0.000, 0.000), Co at (0.000, 0.500, 0.250) and Ni at (0.000, 0.000, 0.396).

# 7
Computed, not measured: CdCoNi after structural relaxation at the PBE level of DFT.

Its energy of formation from the pure elements is 0.296 eV per atom.

It has space group P3m1 (No. 156), with a = 2.7482 Å, b = 2.7482 Å, c = 6.4969 Å, α = 90.00°, β = 90.00° and γ = 120.00°. The distinct sites, in fractional coordinates, are Cd at (0.0000, 0.0000, 0.0000), Co at (0.6667, 0.3333, 0.3619) and Ni at (0.3333, 0.6667, 0.6441).

# 8
Computed, not measured: CdCoNi after structural relaxation at the PBE level of DFT.

Its energy of formation from the pure elements is 0.189 eV per atom.

It has space group I4mm (No. 107), with a = 2.786 Å, b = 2.786 Å, c = 10.776 Å, α = 90.00°, β = 90.00° and γ = 90.00°. The distinct sites, in fractional coordinates, are Cd at (0.000, 0.000, 0.000), Co at (0.000, 0.000, 0.686) and Ni at (0.000, 0.000, 0.316).

# 9
Computed, not measured: CdCoNi after structural relaxation at the PBE level of DFT.

Its energy of formation from the pure elements is 0.520 eV per atom.

It has space group F-43m (No. 216), with a = 5.805 Å, b = 5.805 Å, c = 5.805 Å, α = 90.00°, β = 90.00° and γ = 90.00°. The distinct sites, in fractional coordinates, are Cd at (0.000, 0.000, 0.000), Co at (0.000, 0.000, 0.500) and Ni at (0.250, 0.250, 0.750).

# 10
Computed, not measured: CdCo2Ni2 after structural relaxation at the PBE level of DFT.

Its energy of formation from the pure elements is 0.203 eV per atom.

It has space group P4/mbm (No. 127), with a = 7.050 Å, b = 7.050 Å, c = 2.613 Å, α = 90.00°, β = 90.00° and γ = 90.00°. The distinct sites, in fractional coordinates, are Cd at (0.000, 0.000, 0.000), Co at (0.170, 0.330, 0.500) and Ni at (0.122, 0.622, 0.000).

# 11
Computed, not measured: CdCoNi2 after structural relaxation at the PBE level of DFT.

Its energy of formation from the pure elements is 0.212 eV per atom.

It has space group Immm (No. 71), with a = 3.777 Å, b = 3.787 Å, c = 7.329 Å, α = 90.00°, β = 90.00° and γ = 90.00°. The distinct sites, in fractional coordinates, are Cd at (0.000, 0.000, 0.000), Co at (0.000, 0.000, 0.500) and Ni at (0.000, 0.500, 0.250).

# 12
Computed, not measured: CdCoNi2 after structural relaxation at the PBE level of DFT.

Its energy of formation from the pure elements is 0.228 eV per atom.

It has space group R-3m (No. 166, hexagonal axes), with a = 2.6900 Å, b = 2.6900 Å, c = 25.5268 Å, α = 90.00°, β = 90.00° and γ = 120.00°. The distinct sites, in fractional coordinates, are Cd at (0.0000, 0.0000, 0.0000), Co at (0.0000, 0.0000, 0.5000) and Ni at (0.0000, 0.0000, 0.2415).

# 13
Computed, not measured: CdCoNi2 after structural relaxation at the PBE level of DFT.

Its energy of formation from the pure elements is 0.196 eV per atom.

It has space group Cm (No. 8), with a = 8.610 Å, b = 2.671 Å, c = 4.670 Å, α = 90.00°, β = 100.66° and γ = 90.00°. The distinct sites, in fractional coordinates, are Cd at (0.000, 0.000, 0.000), Co at (0.239, 0.000, 0.697), Ni at (0.000, 0.500, 0.503) and Ni at (0.258, 0.500, 0.268).

# 14
Computed, not measured: CdCoNi2 after structural relaxation at the PBE level of DFT.

Its energy of formation from the pure elements is 0.214 eV per atom.

It has space group C2/m (No. 12), with a = 8.465 Å, b = 2.663 Å, c = 4.764 Å, α = 90.00°, β = 99.56° and γ = 90.00°. The distinct sites, in fractional coordinates, are Cd at (0.000, 0.000, 0.000), Co at (0.000, 0.500, 0.500) and Ni at (0.242, 0.000, 0.714).

# 15
Computed, not measured: CdCoNi2 after structural relaxation at the PBE level of DFT.

Its energy of formation from the pure elements is 0.111 eV per atom.

It has space group P4/mmm (No. 123), with a = 2.730 Å, b = 2.730 Å, c = 7.059 Å, α = 90.00°, β = 90.00° and γ = 90.00°. The distinct sites, in fractional coordinates, are Cd at (0.000, 0.000, 0.000), Co at (0.000, 0.000, 0.500) and Ni at (0.500, 0.500, 0.286).

# 16
Computed, not measured: CdCoNi2 after structural relaxation at the PBE level of DFT.

Its energy of formation from the pure elements is 0.228 eV per atom.

It has space group I-4m2 (No. 119), with a = 3.747 Å, b = 3.747 Å, c = 7.470 Å, α = 90.00°, β = 90.00° and γ = 90.00°. The distinct sites, in fractional coordinates, are Cd at (0.000, 0.000, 0.000), Co at (0.000, 0.500, 0.750), Ni at (0.000, 0.000, 0.500) and Ni at (0.000, 0.500, 0.250).

# 17
Computed, not measured: CdCoNi6 after structural relaxation at the PBE level of DFT.

Its energy of formation from the pure elements is 0.083 eV per atom.

It has space group Cmmm (No. 65), with a = 7.226 Å, b = 10.295 Å, c = 10.293 Å, α = 90.00°, β = 90.00° and γ = 90.00°. The distinct sites, in fractional coordinates, are Cd at (0.000, 0.000, 0.247), Cd at (0.000, 0.243, 0.500), Co at (0.000, 0.244, 0.000), Co at (0.000, 0.500, 0.247), Ni at (0.000, 0.000, 0.000), Ni at (0.000, 0.000, 0.500), Ni at (0.000, 0.256, 0.238), Ni at (0.000, 0.500, 0.000), Ni at (0.000, 0.500, 0.500), Ni at (0.236, 0.378, 0.367) and Ni at (0.241, 0.371, 0.118).

# 18
Computed, not measured: CdCoNi after structural relaxation at the PBE level of DFT.

Its energy of formation from the pure elements is 0.278 eV per atom.

It has space group P-6m2 (No. 187), with a = 4.2385 Å, b = 4.2385 Å, c = 2.7064 Å, α = 90.00°, β = 90.00° and γ = 120.00°. The distinct sites, in fractional coordinates, are Cd at (0.0000, 0.0000, 0.0000), Co at (0.6667, 0.3333, 0.5000) and Ni at (0.3333, 0.6667, 0.5000).

# 19
Computed, not measured: CdCoNi2 after structural relaxation at the PBE level of DFT.

Its energy of formation from the pure elements is 0.271 eV per atom.

It has space group F-43m (No. 216), with a = 5.953 Å, b = 5.953 Å, c = 5.953 Å, α = 90.00°, β = 90.00° and γ = 90.00°. The distinct sites, in fractional coordinates, are Cd at (0.000, 0.000, 0.000), Co at (0.250, 0.250, 0.750), Ni at (0.000, 0.000, 0.500) and Ni at (0.250, 0.250, 0.250).

# 20
Computed, not measured: CdCo2Ni2 after structural relaxation at the PBE level of DFT.

Its energy of formation from the pure elements is 0.321 eV per atom.

It has space group I4/mmm (No. 139), with a = 3.614 Å, b = 3.614 Å, c = 10.492 Å, α = 90.00°, β = 90.00° and γ = 90.00°. The distinct sites, in fractional coordinates, are Cd at (0.000, 0.000, 0.000), Co at (0.000, 0.000, 0.395) and Ni at (0.000, 0.500, 0.250).

# 21
Computed, not measured: CdCoNi2 after structural relaxation at the PBE level of DFT.

Its energy of formation from the pure elements is 0.242 eV per atom.

It has space group Imm2 (No. 44), with a = 2.756 Å, b = 4.381 Å, c = 8.782 Å, α = 90.00°, β = 90.00° and γ = 90.00°. The distinct sites, in fractional coordinates, are Cd at (0.000, 0.000, 0.000), Co at (0.000, 0.500, 0.771), Ni at (0.000, 0.000, 0.497) and Ni at (0.000, 0.500, 0.232).

# 22
Computed, not measured: CdCoNi2 after structural relaxation at the PBE level of DFT.

Its energy of formation from the pure elements is 0.212 eV per atom.

It has space group Pmm2 (No. 25), with a = 2.672 Å, b = 4.249 Å, c = 4.662 Å, α = 90.00°, β = 90.00° and γ = 90.00°. The distinct sites, in fractional coordinates, are Cd at (0.000, 0.000, 0.000), Co at (0.000, 0.500, 0.637), Ni at (0.500, 0.000, 0.503) and Ni at (0.500, 0.500, 0.196).

# 23
Computed, not measured: CdCoNi2 after structural relaxation at the PBE level of DFT.

Its energy of formation from the pure elements is 0.261 eV per atom.

It has space group R3m (No. 160, hexagonal axes), with a = 2.6871 Å, b = 2.6871 Å, c = 25.5896 Å, α = 90.00°, β = 90.00° and γ = 120.00°. The distinct sites, in fractional coordinates, are Cd at (0.0000, 0.0000, 0.0000), Co at (0.0000, 0.0000, 0.7598), Ni at (0.0000, 0.0000, 0.2429) and Ni at (0.0000, 0.0000, 0.5001).

# 24
Computed, not measured: CdCoNi2 after structural relaxation at the PBE level of DFT.

Its energy of formation from the pure elements is 0.260 eV per atom.

It has space group Fm-3m (No. 225), with a = 5.956 Å, b = 5.956 Å, c = 5.956 Å, α = 90.00°, β = 90.00° and γ = 90.00°. The distinct sites, in fractional coordinates, are Cd at (0.000, 0.000, 0.000), Co at (0.000, 0.000, 0.500) and Ni at (0.250, 0.250, 0.250).

# 25
Computed, not measured: CdCoNi2 after structural relaxation at the PBE level of DFT.

Its energy of formation from the pure elements is 0.228 eV per atom.

It has space group C2/m (No. 12), with a = 5.381 Å, b = 7.264 Å, c = 2.695 Å, α = 90.00°, β = 90.23° and γ = 90.00°. The distinct sites, in fractional coordinates, are Cd at (0.000, 0.000, 0.000), Co at (0.000, 0.500, 0.000) and Ni at (0.250, 0.250, 0.500).

# 26
Computed, not measured: CdCoNi2 after structural relaxation at the PBE level of DFT.

Its energy of formation from the pure elements is 0.170 eV per atom.

It has space group P4mm (No. 99), with a = 2.752 Å, b = 2.752 Å, c = 6.954 Å, α = 90.00°, β = 90.00° and γ = 90.00°. The distinct sites, in fractional coordinates, are Cd at (0.000, 0.000, 0.000), Co at (0.500, 0.500, 0.294), Ni at (0.000, 0.000, 0.500) and Ni at (0.500, 0.500, 0.718).

# 27
Computed, not measured: CdCoNi2 after structural relaxation at the PBE level of DFT.

Its energy of formation from the pure elements is 0.569 eV per atom.

It has space group I-42d (No. 122), with a = 3.687 Å, b = 3.687 Å, c = 17.176 Å, α = 90.00°, β = 90.00° and γ = 90.00°. The distinct sites, in fractional coordinates, are Cd at (0.000, 0.000, 0.000), Co at (0.000, 0.000, 0.500) and Ni at (0.210, 0.250, 0.625).